A relaxed structure of TbHo2SbN4. Source: Alexandria, functional GGA-PBE.

```
data_TbHo2SbN4
_chemical_formula_sum 'Tb1 Ho2 Sb1 N4'
_symmetry_space_group_name_H-M 'P 1 2/m 1'
_symmetry_Int_Tables_number 10
_symmetry_space_group_name_Hall '-P 2y'
_cell_length_a 6.029
_cell_length_b 3.477
_cell_length_c 6.046
_cell_angle_alpha 90.00
_cell_angle_beta 109.29
_cell_angle_gamma 90.00
loop_
_atom_site_label
_atom_site_type_symbol
_atom_site_fract_x
_atom_site_fract_y
_atom_site_fract_z
Tb1 Tb 0.000 0.000 0.000
Ho1 Ho 0.000 0.500 0.500
Ho2 Ho 0.500 0.000 0.500
Sb1 Sb 0.500 0.500 0.000
N1 N 0.238 0.000 0.735
N2 N 0.246 0.500 0.258
```

Energy relative to the elements, uncorrected, eV/atom: -1.07
Magnetic moment, μB/atom: 0.000
Crystal system: monoclinic
Electronic total energy, eV/f.u.: -59.79
Theoretical density, g cm⁻³: 9.25